La3Co3O8 | PBE with a Hubbard U | optimized geometry

a = 5.653 Å, b = 5.447 Å, c = 11.761 Å
α = 90.00°, β = 90.33°, γ = 90.00°
Sites, in units of the cell vectors:
La1 0.232 0.000 0.308
La2 0.233 0.996 0.689
La3 0.249 0.029 0.999
La4 0.751 0.529 0.001
La5 0.767 0.496 0.311
La6 0.768 0.500 0.692
Co1 0.251 0.511 0.836
Co2 0.257 0.511 0.168
Co3 0.312 0.461 0.497
Co4 0.688 0.961 0.503
Co5 0.743 0.011 0.832
Co6 0.749 0.011 0.164
O1 0.000 0.277 0.145
O2 0.000 0.777 0.855
O3 0.021 0.767 0.144
O4 0.177 0.536 0.646
O5 0.187 0.527 0.342
O6 0.330 0.500 0.008
O7 0.357 0.092 0.500
O8 0.484 0.254 0.193
O9 0.488 0.242 0.807
O10 0.512 0.742 0.193
O11 0.516 0.754 0.807
O12 0.643 0.592 0.500
O13 0.670 0.000 0.992
O14 0.813 0.027 0.658
O15 0.823 0.036 0.354
O16 0.979 0.267 0.856

Summary:
* space group: No. 4
* uncorrected energy: -7.285 eV per atom
* magnetic moment: 0.425 μB/atom